No. 1
{
  "formula": "SrYP3",
  "functional": "GGA-PBEsol",
  "state": "relaxed",
  "lattice_angstrom": [[5.1035, 0.0000, 0.0000], [0.0000, 5.1035, 0.0000], [0.0000, 0.0000, 5.1035]],
  "species": ["Sr", "Y", "P", "P", "P"],
  "fractional_positions": [[0.0000, 0.0000, 0.0000], [0.5000, 0.5000, 0.5000], [0.0000, 0.0000, 0.5000], [0.0000, 0.5000, 0.0000], [0.5000, 0.0000, 0.0000]],
  "e_tot_ev_per_atom": -4.596,
  "delta_e_f_ev_per_atom": 0.611
}


No. 2
{
  "formula": "ZrCr2Re",
  "functional": "GGA-PBEsol",
  "state": "relaxed",
  "lattice_angstrom": [[4.3189, 0.0000, 0.0000], [0.0000, 4.3189, 0.0000], [0.0000, 0.0000, 3.0352]],
  "species": ["Zr", "Cr", "Cr", "Re"],
  "fractional_positions": [[0.0000, 0.0000, 0.0000], [0.0000, 0.5000, 0.5000], [0.5000, 0.0000, 0.5000], [0.5000, 0.5000, 0.0000]],
  "e_tot_ev_per_atom": -10.640,
  "delta_e_f_ev_per_atom": 0.087
}


No. 3
{
  "formula": "La2PC",
  "functional": "GGA-PBEsol",
  "state": "relaxed",
  "lattice_angstrom": [[8.7621, 0.0000, 0.0000], [-0.0411, 8.7979, 0.0000], [-0.0349, -0.0089, 8.9494]],
  "species": ["La", "La", "La", "La", "La", "La", "La", "La", "La", "La", "La", "La", "La", "La", "La", "La", "P", "P", "P", "P", "P", "P", "P", "P", "C", "C", "C", "C", "C", "C", "C", "C"],
  "fractional_positions": [[0.0000, 0.0000, 0.0000], [0.0002, 0.1121, 0.4167], [0.1146, 0.3588, 0.7735], [0.1190, 0.7494, 0.6539], [0.2174, 0.3680, 0.1402], [0.2416, 0.7398, 0.2541], [0.3595, 0.9953, 0.8969], [0.3645, 0.0998, 0.5337], [0.4642, 0.6331, 0.8970], [0.4917, 0.5124, 0.5293], [0.6079, 0.8699, 0.2750], [0.6352, 0.2450, 0.1337], [0.7215, 0.8778, 0.6470], [0.7486, 0.2440, 0.7682], [0.8629, 0.4853, 0.3903], [0.8785, 0.6143, 0.0194], [0.1809, 0.4292, 0.4611], [0.3018, 0.0625, 0.2109], [0.4355, 0.3091, 0.8338], [0.5443, 0.5512, 0.2063], [0.6764, 0.1824, 0.4524], [0.6770, 0.9351, 0.9650], [0.7995, 0.5645, 0.7063], [0.9273, 0.8058, 0.3281], [0.1227, 0.0572, 0.6924], [0.1565, 0.7531, 0.9597], [0.1695, 0.5998, 0.9346], [0.4186, 0.8070, 0.5044], [0.4216, 0.7860, 0.6558], [0.9210, 0.3376, 0.1542], [0.9239, 0.2977, 0.0065], [0.9704, 0.0263, 0.7030]],
  "e_tot_ev_per_atom": -7.422,
  "delta_e_f_ev_per_atom": -0.890
}


No. 4
{
  "formula": "Sr2PdPt2",
  "functional": "GGA-PBEsol",
  "state": "relaxed",
  "lattice_angstrom": [[-2.8907, 2.8907, 3.8214], [2.8907, -2.8907, 3.8214], [2.8907, 2.8907, -3.8214]],
  "species": ["Sr", "Sr", "Pd", "Pt", "Pt"],
  "fractional_positions": [[0.2500, 0.7500, 0.5000], [0.7500, 0.2500, 0.5000], [0.0000, 0.0000, 0.0000], [0.3355, 0.3355, 0.0000], [0.6645, 0.6645, 0.0000]],
  "e_tot_ev_per_atom": -5.039,
  "delta_e_f_ev_per_atom": -0.326
}